Ni2HPd: optimized geometry, GGA-PBE.

Output
Volume: 11.37 Å³/atom
SG: Fm-3m (225)
N(E_F): 6.910 states/eV per cell
M_tot: 1.0 μB per formula unit
Polymorph energy (0 for the lowest one): 0.607 eV/atom

```
Ni2HPd
1.0
0.000 2.833 2.833
2.833 0.000 2.833
2.833 2.833 0.000
Pd Ni H
1 2 1
Cartesian
2.833 2.833 2.833 Pd
1.417 1.417 1.417 Ni
4.250 4.250 4.250 Ni
0.000 0.000 0.000 H
```

Sm4Dy3Y8: optimized geometry, GGA-PBE.

Output
Volume: 33.83 Å³/atom
SG: C2/m (12)
N(E_F): 30.769 states/eV per cell
M_tot: 0.7 μB per formula unit
Polymorph energy (0 for the lowest one): 0.244 eV/atom

```
Sm4Dy3Y8
1.0
6.773 -0.087 -0.124
-3.264 8.647 1.172
-3.264 -1.903 8.516
Y Sm Dy
8 4 3
Cartesian
-1.728 1.812 2.603 Y
0.123 0.726 6.594 Y
1.974 4.845 6.960 Y
-1.547 4.911 7.055 Y
-3.264 4.861 3.807 Y
-3.264 1.883 5.881 Y
1.792 1.747 2.509 Y
0.123 5.932 2.970 Y
3.386 -0.043 -0.062 Sm
0.000 0.000 0.000 Sm
-1.632 4.323 0.586 Sm
-1.632 -0.951 4.258 Sm
1.755 -0.995 4.196 Dy
1.755 4.280 0.524 Dy
0.123 3.329 4.782 Dy
```

YCuSn2Bi: optimized geometry, GGA-PBE.

Output
Volume: 27.36 Å³/atom
SG: P4/mmm (123)
N(E_F): 2.481 states/eV per cell
M_tot: 0.0 μB per formula unit
Total DFT energy (no corrections): -4.5735 eV per atom

```
YCuSn2Bi
1.0
4.950 0.000 0.000
0.000 5.584 0.000
0.000 0.000 4.950
Y Sn Bi Cu
1 2 1 1
Cartesian
0.000 2.792 0.000 Y
0.000 0.000 2.475 Sn
2.475 0.000 0.000 Sn
2.475 2.792 2.475 Bi
0.000 0.000 0.000 Cu
```

Pr4PaBi5: optimized geometry, GGA-PBE.

Output
Volume: 34.52 Å³/atom
SG: I4/m (87)
N(E_F): 8.023 states/eV per cell
M_tot: 0.9 μB per formula unit
Total DFT energy (no corrections): -5.5847 eV per atom

```
Pr4PaBi5
1.0
5.865 0.000 2.829
2.933 7.281 1.414
-0.231 0.000 7.972
Pr Bi Pa
4 5 1
Cartesian
6.902 5.785 8.188 Pr
3.357 2.905 8.042 Pr
5.221 4.376 4.179 Pr
1.676 1.496 4.034 Pr
6.252 2.835 9.535 Bi
2.941 0.000 1.418 Bi
2.326 4.446 2.686 Bi
3.939 5.872 6.836 Bi
4.639 1.409 5.385 Bi
0.008 0.000 0.004 Pa
```

La2NdDy5Th: optimized geometry, GGA-PBE.

Output
Volume: 33.89 Å³/atom
SG: Cmc2_1 (36)
N(E_F): 26.030 states/eV per cell
M_tot: 0.0 μB per formula unit
Total DFT energy (no corrections): -4.8493 eV per atom

```
La2NdDy5Th
1.0
-1.461 -5.022 2.232
2.986 -2.012 -9.817
10.021 -1.429 3.341
Nd Dy La Th
2 10 4 2
Cartesian
6.413 -4.390 -5.682 Nd
9.217 -4.656 2.799 Nd
8.417 -5.677 -0.021 Dy
9.556 -5.387 -5.868 Dy
8.452 -3.713 -2.824 Dy
0.330 -0.186 -0.204 Dy
6.716 -7.635 -5.541 Dy
1.750 -3.043 1.543 Dy
2.274 -4.634 -1.694 Dy
5.014 -4.254 0.953 Dy
1.997 -3.562 -6.709 Dy
4.395 -2.967 -3.801 Dy
3.734 -1.511 -0.957 La
7.834 -2.100 0.402 La
3.294 -6.304 -4.786 La
9.219 -7.153 -2.818 La
5.737 -5.933 -2.351 Th
1.029 -1.849 -3.487 Th
```

Tb2PmScBi5: optimized geometry, GGA-PBE.

Output
Volume: 39.83 Å³/atom
SG: P4/mmm (123)
N(E_F): 6.534 states/eV per cell
M_tot: 0.0 μB per formula unit
Total DFT energy (no corrections): -4.2885 eV per atom

```
Tb2PmScBi5
1.0
5.576 0.000 0.000
0.000 5.576 0.000
0.000 0.000 11.530
Bi Tb Sc Pm
5 2 1 1
Cartesian
0.000 2.788 5.765 Bi
2.788 0.000 5.765 Bi
0.000 0.000 2.731 Bi
0.000 0.000 8.799 Bi
2.788 2.788 0.000 Bi
2.788 2.788 8.328 Tb
2.788 2.788 3.202 Tb
0.000 0.000 0.000 Sc
0.000 0.000 5.765 Pm
```

Which value of volume does entry 6 give? 39.83 Å³/atom